[1]
Here is crystalline Mg3HAu at its relaxed geometry from the Alexandria database. Energies are from GGA-PBE.

a = 4.271 Å, b = 4.271 Å, c = 4.271 Å
α = 90.00°, β = 90.00°, γ = 90.00°
Fractional coordinates of all 5 atoms:
H  0.000  0.000  0.000
Mg  0.000  0.500  0.000
Mg  0.000  0.000  0.500
Mg  0.500  0.000  0.000
Au  0.500  0.500  0.500

Properties
* space group: Pm-3m, No. 221
* D(E_F): 1.50 states/eV/f.u.
* total moment: 0.00 μB per cell
* electronic total energy: -2.4864 eV/atom

=====

[2]
Here is crystalline SnSeN2 at its relaxed geometry from the Alexandria database. Energies are from GGA-PBE.

a = 5.620 Å, b = 5.620 Å, c = 5.668 Å
α = 60.28°, β = 60.28°, γ = 90.00°
Fractional coordinates of all 8 atoms:
Sn  0.000  0.000  0.000
Sn  0.750  0.250  0.500
Se  0.500  0.500  0.000
Se  0.250  0.750  0.500
N  0.653  0.125  0.250
N  0.097  0.625  0.250
N  0.375  0.347  0.750
N  0.875  0.903  0.750

Properties
* space group: I-42d, No. 122
* D(E_F): 0.75 states/eV/f.u.
* total moment: 0.00 μB per cell
* polymorph energy (0 for the lowest one): 1110 meV per atom
* electronic total energy: -5.0183 eV/atom

=====

[3]
Here is crystalline Al5Se at its relaxed geometry from the Alexandria database. Energies are from GGA-PBE.

a = 5.067 Å, b = 5.067 Å, c = 4.722 Å
α = 90.00°, β = 90.00°, γ = 120.00°
Fractional coordinates of all 6 atoms:
Al  0.655  0.000  0.000
Al  0.345  0.345  0.000
Al  0.000  0.655  0.000
Al  0.667  0.333  0.500
Al  0.333  0.667  0.500
Se  0.000  0.000  0.500

Properties
* space group: P-62m, No. 189
* D(E_F): 3.16 states/eV/f.u.
* total moment: 0.00 μB per cell
* polymorph energy (0 for the lowest one): 50 meV per atom
* electronic total energy: -3.6147 eV/atom

=====

[4]
Here is crystalline RbHfTl at its relaxed geometry from the Alexandria database. Energies are from GGA-PBE.

a = 9.304 Å, b = 4.964 Å, c = 8.705 Å
α = 90.00°, β = 90.00°, γ = 90.00°
Fractional coordinates of all 12 atoms:
Tl  0.805  0.250  0.334
Tl  0.695  0.750  0.834
Tl  0.195  0.750  0.666
Tl  0.305  0.250  0.166
Hf  0.094  0.250  0.453
Hf  0.406  0.750  0.953
Hf  0.906  0.750  0.547
Hf  0.594  0.250  0.047
Rb  0.982  0.250  0.867
Rb  0.518  0.750  0.367
Rb  0.018  0.750  0.133
Rb  0.482  0.250  0.633

Properties
* space group: Pnma, No. 62
* D(E_F): 1.46 states/eV/f.u.
* total moment: 0.00 μB per cell
* polymorph energy (0 for the lowest one): 392 meV per atom
* electronic total energy: -3.8977 eV/atom

=====

[5]
Here is crystalline TbNd5Se8 at its relaxed geometry from the Alexandria database. Energies are from GGA-PBE.

a = 7.749 Å, b = 7.749 Å, c = 7.749 Å
α = 108.56°, β = 111.31°, γ = 108.56°
Fractional coordinates of all 14 atoms:
Tb  0.250  0.500  0.750
Nd  0.024  0.401  0.128
Nd  0.872  0.896  0.273
Nd  0.727  0.599  0.623
Nd  0.500  0.000  0.500
Nd  0.377  0.104  0.976
Se  0.132  0.754  0.018
Se  0.982  0.114  0.736
Se  0.775  0.257  0.377
Se  0.623  0.398  0.880
Se  0.481  0.602  0.225
Se  0.622  0.886  0.868
Se  0.264  0.246  0.378
Se  0.120  0.743  0.519

Properties
* space group: I-4, No. 82
* D(E_F): 6.85 states/eV/f.u.
* total moment: 0.00 μB per cell
* electronic total energy: -5.8705 eV/atom

=====

[6]
Here is crystalline CaTc4Ge4 at its relaxed geometry from the Alexandria database. Energies are from GGA-PBE.

a = 4.784 Å, b = 8.355 Å, c = 8.355 Å
α = 90.00°, β = 90.00°, γ = 90.00°
Fractional coordinates of all 18 atoms:
Ca  0.000  0.000  0.000
Ca  0.500  0.500  0.500
Tc  0.417  0.389  0.874
Tc  0.917  0.626  0.889
Tc  0.417  0.611  0.126
Tc  0.083  0.111  0.626
Tc  0.583  0.874  0.611
Tc  0.083  0.889  0.374
Tc  0.917  0.374  0.111
Tc  0.583  0.126  0.389
Ge  0.574  0.849  0.295
Ge  0.574  0.151  0.705
Ge  0.074  0.795  0.651
Ge  0.926  0.349  0.795
Ge  0.926  0.651  0.205
Ge  0.426  0.295  0.151
Ge  0.426  0.705  0.849
Ge  0.074  0.205  0.349

Properties
* space group: P4_2/n, No. 86
* D(E_F): 9.48 states/eV/f.u.
* total moment: 0.00 μB per cell
* electronic total energy: -6.9956 eV/atom

=====

| no. | V (Å³/f.u.) |
| --- | --- |
| 1 | 77.9 |
| 2 | 63.8 |
| 3 | 105.0 |
| 4 | 100.5 |
| 5 | 357.9 |
| 6 | 167.0 |